Entry from the Alexandria database: a relaxed structure of BaV2Ir (GGA-PBE).

Computed properties:
Energy of formation, eV/f.u.: 2.77
Density of states at the Fermi level, states/eV/cell: 23.7
Calculated total energy, eV per atom: -6.562

a b c (Å): 5.1734 5.1734 16.5721
angles (deg): 90.00 90.00 90.00
Closest atoms and distances in Å follow each position.
Space group I4_1/amd (No. 141, origin choice 2)
One atom of each set of equivalent atoms:
Ba 0.0000 0.2500 0.3750 [4 per cell]  8 V 3.56, 4 Ir 3.66
V 0.0000 0.0000 0.0000 [8 per cell]  2 Ir 2.44, 2 V 2.59
Ir 0.0000 0.2500 0.8750 [4 per cell]  4 V 2.44

Entry from the Alexandria database: a relaxed structure of BaIrW2 (GGA-PBE).

Computed properties:
Energy of formation, eV/f.u.: 3.44
Density of states at the Fermi level, states/eV/cell: 9.3
Calculated total energy, eV per atom: -8.314

a b c (Å): 4.0661 4.0739 9.7435
angles (deg): 90.00 90.00 90.00
Closest atoms and distances in Å follow each position.
Space group Cmmm (No. 65)
One atom of each set of equivalent atoms:
Ba 0.0000 0.0000 0.0000 [2 per cell]  4 Ba 2.88
Ir 0.0000 0.0000 0.5000 [2 per cell]  8 W 2.77, 4 Ir 2.88
W 0.0000 0.5000 0.3067 [4 per cell]  4 Ir 2.77, 4 W 2.88

Entry from the Alexandria database: a relaxed structure of BaIrW2 (GGA-PBE).

Computed properties:
Energy of formation, eV/f.u.: 5.32
Density of states at the Fermi level, states/eV/cell: 11.0
Calculated total energy, eV per atom: -7.842

a b c (Å): 6.6720 6.6720 6.6720
angles (deg): 90.00 90.00 90.00
Closest atoms and distances in Å follow each position.
Space group Fm-3m (No. 225)
One atom of each set of equivalent atoms:
Ba 0.0000 0.0000 0.0000 [4 per cell]  8 W 2.89
Ir 0.0000 0.0000 0.5000 [4 per cell]  8 W 2.89
W 0.2500 0.2500 0.2500 [8 per cell]  4 Ba 2.89, 4 Ir 2.89

Entry from the Alexandria database: a relaxed structure of BaIrW2 (GGA-PBE).

Computed properties:
Energy of formation, eV/f.u.: 6.04
Density of states at the Fermi level, states/eV/cell: 4.8
Calculated total energy, eV per atom: -7.662

a b c (Å): 3.9884 3.9884 5.1639
angles (deg): 90.00 90.00 90.00
Closest atoms and distances in Å follow each position.
Space group P4/mmm (No. 123)
One atom of each set of equivalent atoms:
Ba 0.0000 0.0000 0.0000 [1 per cell]  4 Ir 2.82
Ir 0.5000 0.5000 0.0000 [1 per cell]  4 Ba 2.82
W 0.0000 0.5000 0.5000 [2 per cell]  4 W 2.82

Entry from the Alexandria database: a relaxed structure of BaIrW2 (GGA-PBE).

Computed properties:
Energy of formation, eV/f.u.: 2.88
Density of states at the Fermi level, states/eV/cell: 7.8
Calculated total energy, eV per atom: -8.453

a b c (Å): 9.4941 3.0787 6.6985
angles (deg): 90.00 102.63 90.00
Closest atoms and distances in Å follow each position.
Space group Cm (No. 8)
One atom of each set of equivalent atoms:
Ba 0.0000 0.0000 0.0000 [2 per cell]  2 Ba 3.08, 2 Ir 3.37
Ir 0.2337 0.0000 0.6638 [2 per cell]  4 W 2.60-2.62
W 0.0122 0.5000 0.5143 [2 per cell]  2 W 2.55, 2 Ir 2.62
W 0.2984 0.5000 0.3832 [2 per cell]  2 W 2.55, 2 Ir 2.60

Entry from the Alexandria database: a relaxed structure of BaIrW3 (GGA-PBE).

Computed properties:
Energy of formation, eV/f.u.: 20.18
Density of states at the Fermi level, states/eV/cell: 3.7
Calculated total energy, eV per atom: -5.893

a b c (Å): 4.8551 4.8551 4.8551
angles (deg): 90.00 90.00 90.00
Closest atoms and distances in Å follow each position.
Space group Pm-3m (No. 221)
One atom of each set of equivalent atoms:
Ba 0.0000 0.0000 0.0000 [1 per cell]  6 W 2.43
Ir 0.5000 0.5000 0.5000 [1 per cell]  12 W 3.43
W 0.0000 0.0000 0.5000 [3 per cell]  2 Ba 2.43

Entry from the Alexandria database: a relaxed structure of BaIrW2 (GGA-PBE).

Computed properties:
Energy of formation, eV/f.u.: 5.22
Density of states at the Fermi level, states/eV/cell: 8.0
Calculated total energy, eV per atom: -7.869

a b c (Å): 5.7022 10.0190 2.8785
angles (deg): 90.00 108.75 90.00
Closest atoms and distances in Å follow each position.
Space group C2/m (No. 12)
One atom of each set of equivalent atoms:
Ba 0.0000 0.0000 0.0000 [2 per cell]  2 Ir 2.85, 2 Ba 2.88, 4 W 3.01
Ir 0.0000 0.5000 0.0000 [2 per cell]  2 Ba 2.85, 2 Ir 2.88, 4 W 3.01
W 0.2500 0.2500 0.5000 [4 per cell]  4 W 2.85-2.88, 2 Ba 3.01, 2 Ir 3.01

Entry from the Alexandria database: a relaxed structure of BaIrW2 (GGA-PBE).

Computed properties:
Energy of formation, eV/f.u.: 4.02
Density of states at the Fermi level, states/eV/cell: 13.8
Calculated total energy, eV per atom: -8.168

a b c (Å): 2.9219 2.9219 32.3495
angles (deg): 90.00 90.00 120.00
Closest atoms and distances in Å follow each position.
Space group R-3m (No. 166, hexagonal axes)
One atom of each set of equivalent atoms:
Ba 0.0000 0.0000 0.0000 [3 per cell]  6 Ba 2.92
Ir 0.0000 0.0000 0.5000 [3 per cell]  6 W 2.77, 6 Ir 2.92
W 0.0000 0.0000 0.2345 [6 per cell]  3 Ir 2.77, 6 W 2.92

Entry from the Alexandria database: a relaxed structure of BaIrW2 (GGA-PBE).

Computed properties:
Energy of formation, eV/f.u.: 3.62
Density of states at the Fermi level, states/eV/cell: 5.5
Calculated total energy, eV per atom: -8.267

a b c (Å): 2.8522 5.2581 11.2133
angles (deg): 90.00 90.00 90.00
Closest atoms and distances in Å follow each position.
Space group Immm (No. 71)
One atom of each set of equivalent atoms:
Ba 0.0000 0.0000 0.0000 [2 per cell]  2 Ba 2.85, 4 Ir 2.99
Ir 0.0000 0.0000 0.5000 [2 per cell]  4 W 2.72, 2 Ir 2.85, 4 Ba 2.99
W 0.0000 0.5000 0.2067 [4 per cell]  2 Ir 2.72, 2 W 2.85

Entry from the Alexandria database: a relaxed structure of BaIrW2 (GGA-PBE).

Computed properties:
Energy of formation, eV/f.u.: 3.10
Density of states at the Fermi level, states/eV/cell: 2.7
Calculated total energy, eV per atom: -8.399

a b c (Å): 3.4175 3.4175 7.8119
angles (deg): 90.00 90.00 90.00
Closest atoms and distances in Å follow each position.
Space group P4/mmm (No. 123)
One atom of each set of equivalent atoms:
Ba 0.0000 0.0000 0.0000 [1 per cell]  4 Ba 3.42, 8 W 3.64
Ir 0.0000 0.0000 0.5000 [1 per cell]  8 W 2.69
W 0.5000 0.5000 0.3477 [2 per cell]  1 W 2.38

Entry from the Alexandria database: a relaxed structure of BaIrW3 (GGA-PBE).

Computed properties:
Energy of formation, eV/f.u.: 8.38
Density of states at the Fermi level, states/eV/cell: 5.6
Calculated total energy, eV per atom: -8.254

a b c (Å): 4.9450 4.9450 4.9450
angles (deg): 90.00 90.00 90.00
Closest atoms and distances in Å follow each position.
Space group Pm-3m (No. 221)
One atom of each set of equivalent atoms:
Ba 0.0000 0.0000 0.0000 [1 per cell]  12 W 3.50
Ir 0.5000 0.5000 0.5000 [1 per cell]  6 W 2.47
W 0.0000 0.5000 0.5000 [3 per cell]  2 Ir 2.47

Entry from the Alexandria database: a relaxed structure of BaIrW2 (GGA-PBE).

Computed properties:
Energy of formation, eV/f.u.: 2.47
Density of states at the Fermi level, states/eV/cell: 4.7
Calculated total energy, eV per atom: -8.554

a b c (Å): 3.0934 3.4264 8.1200
angles (deg): 90.00 90.00 90.00
Closest atoms and distances in Å follow each position.
Space group Pmm2 (No. 25)
One atom of each set of equivalent atoms:
Ba 0.0000 0.0000 0.0000 [1 per cell]  4 Ba 3.09-3.43, 4 Ir 3.42
Ir 0.5000 0.5000 0.3108 [1 per cell]  5 W 2.72-2.82
W 0.0000 0.0000 0.4875 [1 per cell]  4 W 2.69, 4 Ir 2.72
W 0.5000 0.5000 0.6578 [1 per cell]  4 W 2.69, 1 Ir 2.82

Entry from the Alexandria database: a relaxed structure of BaIrW2 (GGA-PBE).

Computed properties:
Energy of formation, eV/f.u.: 4.39
Density of states at the Fermi level, states/eV/cell: 6.4
Calculated total energy, eV per atom: -8.076

a b c (Å): 3.0525 5.5568 10.0214
angles (deg): 90.00 90.00 90.00
Closest atoms and distances in Å follow each position.
Space group Imm2 (No. 44)
One atom of each set of equivalent atoms:
Ba 0.0000 0.0000 0.0000 [2 per cell]  2 Ba 3.05, 6 W 3.17-3.31, 2 Ir 3.26
Ir 0.0000 0.5000 0.2126 [2 per cell]  2 W 2.67
W 0.0000 0.0000 0.4946 [2 per cell]  2 W 2.53, 2 Ir 2.67
W 0.0000 0.5000 0.7931 [2 per cell]  2 W 2.53

Entry from the Alexandria database: a relaxed structure of BaIrW2 (GGA-PBE).

Computed properties:
Energy of formation, eV/f.u.: 5.30
Density of states at the Fermi level, states/eV/cell: 4.4
Calculated total energy, eV per atom: -7.847

a b c (Å): 3.0465 5.0372 5.1373
angles (deg): 90.00 90.00 90.00
Closest atoms and distances in Å follow each position.
Space group Pmmm (No. 47)
One atom of each set of equivalent atoms:
Ba 0.0000 0.0000 0.0000 [1 per cell]  4 Ir 2.94, 4 W 2.99, 2 Ba 3.05
Ir 0.5000 0.5000 0.0000 [1 per cell]  4 Ba 2.94, 4 W 2.99, 2 Ir 3.05
W 0.0000 0.5000 0.5000 [1 per cell]  6 W 2.94-3.05, 4 Ir 2.99
W 0.5000 0.0000 0.5000 [1 per cell]  6 W 2.94-3.05, 4 Ba 2.99